Record 1
! PBE PmNd6Al2, optimized geometry; values from VASP
&SYSTEM
  ibrav = 0, nat = 9, ntyp = 3
/
ATOMIC_SPECIES
Nd 144.24 Nd.upf
Al 26.98 Al.upf
Pm 145.00 Pm.upf
ATOMIC_POSITIONS crystal
Nd 0.9763 0.7215 0.3259
Nd 0.6876 0.5002 0.1246
Nd 0.0237 0.2785 0.6741
Nd 0.3124 0.4998 0.8754
Nd 0.6890 0.2112 0.4108
Nd 0.3110 0.7888 0.5892
Al 0.6497 0.9034 0.7972
Al 0.3503 0.0966 0.2028
Pm 0.0000 0.0000 0.0000
CELL_PARAMETERS angstrom
3.7738 0.0000 0.5991
1.6634 6.3180 1.7076
0.0561 -0.1136 11.8313
! Spin magnetization   0.0 μB per cell
! VASP energy   -42.059 eV/f.u.
! Energy relative to the elements   -135 meV/atom


Record 2
! PBE Pm5Nd12Al2, optimized geometry; values from VASP
&SYSTEM
  ibrav = 0, nat = 19, ntyp = 3
/
ATOMIC_SPECIES
Nd 144.24 Nd.upf
Al 26.98 Al.upf
Pm 145.00 Pm.upf
ATOMIC_POSITIONS crystal
Nd 0.5176 0.0352 0.3086
Nd 0.3349 0.2699 0.1359
Nd 0.9187 0.3068 0.5305
Nd 0.0651 0.7301 0.8641
Nd 0.6651 0.7301 0.8641
Nd 0.0813 0.6932 0.4695
Nd 0.0526 0.1051 0.8327
Nd 0.3881 0.3068 0.5305
Nd 0.9349 0.2699 0.1359
Nd 0.9474 0.8949 0.1673
Nd 0.4824 0.9648 0.6914
Nd 0.6119 0.6932 0.4695
Al 0.3389 0.0000 0.0000
Al 0.6611 0.0000 0.0000
Pm 0.0000 0.0000 0.5000
Pm 0.6839 0.3677 0.8335
Pm 0.3161 0.6323 0.1665
Pm 0.7504 0.5008 0.2170
Pm 0.2496 0.4992 0.7830
CELL_PARAMETERS angstrom
-7.6516 -0.2204 2.6944
5.7023 -7.4331 3.3646
2.8453 2.4309 8.2790
! Spin magnetization   0.0 μB per cell
! VASP energy   -87.403 eV/f.u.
! Energy relative to the elements   55 meV/atom


Record 3
! PBE PmNd3Al4, optimized geometry; values from VASP
&SYSTEM
  ibrav = 0, nat = 8, ntyp = 3
/
ATOMIC_SPECIES
Nd 144.24 Nd.upf
Pm 145.00 Pm.upf
Al 26.98 Al.upf
ATOMIC_POSITIONS crystal
Nd 0.5000 0.5000 0.5000
Nd 0.5000 0.5000 0.2490
Nd 0.5000 0.5000 0.7510
Pm 0.5000 0.5000 0.0000
Al 0.0000 0.0000 0.3746
Al 0.0000 0.0000 0.6254
Al 0.0000 0.0000 0.1230
Al 0.0000 0.0000 0.8770
CELL_PARAMETERS angstrom
-2.1230 -1.3237 -2.7563
0.7883 -3.4791 1.0636
-11.8157 0.0916 9.0570
! Spin magnetization   0.0 μB per cell
! VASP energy   -36.875 eV/f.u.
! Energy relative to the elements   -356 meV/atom


Record 4
! PBE Pm2Nd8Al, optimized geometry; values from VASP
&SYSTEM
  ibrav = 0, nat = 11, ntyp = 3
/
ATOMIC_SPECIES
Nd 144.24 Nd.upf
Pm 145.00 Pm.upf
Al 26.98 Al.upf
ATOMIC_POSITIONS crystal
Nd 0.4036 0.5785 0.8072
Nd 0.8250 0.7771 0.6501
Nd 0.9812 0.2256 0.9624
Nd 0.1750 0.2229 0.3499
Nd 0.3371 0.0801 0.6741
Nd 0.6629 0.9199 0.3259
Nd 0.0188 0.7744 0.0376
Nd 0.5964 0.4215 0.1928
Pm 0.8094 0.3459 0.6188
Pm 0.1906 0.6541 0.3812
Al 0.5000 0.0000 0.0000
CELL_PARAMETERS angstrom
-3.3089 0.3193 4.3546
2.1587 -7.5348 2.1928
7.0142 6.0277 1.4417
! Spin magnetization   0.0 μB per cell
! VASP energy   -51.023 eV/f.u.
! Energy relative to the elements   33 meV/atom


Record 5
! PBE Pm4NdAl, optimized geometry; values from VASP
&SYSTEM
  ibrav = 0, nat = 6, ntyp = 3
/
ATOMIC_SPECIES
Pm 145.00 Pm.upf
Nd 144.24 Nd.upf
Al 26.98 Al.upf
ATOMIC_POSITIONS crystal
Pm 0.0000 0.0000 0.3660
Pm 0.0000 0.0000 0.6340
Pm 0.5000 0.5000 0.8178
Pm 0.5000 0.5000 0.1822
Nd 0.0000 0.0000 0.0000
Al 0.5000 0.5000 0.5000
CELL_PARAMETERS angstrom
3.6341 0.0000 0.0000
0.0000 3.6341 0.0000
0.0000 0.0000 14.3943
! Excess energy over the best structure of this formula in the dataset   0.00 kJ per mole of atoms
! Spin magnetization   0.0 μB per cell
! VASP energy   -28.108 eV/f.u.
! Energy relative to the elements   -99 meV/atom


Record 6
! PBE Pm2NdAl9, optimized geometry; values from VASP
&SYSTEM
  ibrav = 0, nat = 12, ntyp = 3
/
ATOMIC_SPECIES
Al 26.98 Al.upf
Pm 145.00 Pm.upf
Nd 144.24 Nd.upf
ATOMIC_POSITIONS crystal
Al 0.9246 0.4134 0.2485
Al 0.0754 0.5866 0.7515
Al 0.6646 0.6646 0.0063
Al 0.5866 0.5866 0.7515
Al 0.4134 0.9246 0.2485
Al 0.3354 0.3354 0.9937
Al 0.4134 0.4134 0.2485
Al 0.5000 0.5000 0.5000
Al 0.5866 0.0754 0.7515
Pm 0.1416 0.1416 0.5753
Pm 0.8584 0.8584 0.4247
Nd 0.0000 0.0000 0.0000
CELL_PARAMETERS angstrom
-5.4458 -1.1504 1.0507
-1.6122 -1.5636 5.2000
-3.7320 7.5585 4.2007
! Spin magnetization   0.0 μB per cell
! VASP energy   -52.606 eV/f.u.
! Energy relative to the elements   -388 meV/atom


Record 7
! PBE Pm2NdAl, optimized geometry; values from VASP
&SYSTEM
  ibrav = 0, nat = 8, ntyp = 3
/
ATOMIC_SPECIES
Nd 144.24 Nd.upf
Pm 145.00 Pm.upf
Al 26.98 Al.upf
ATOMIC_POSITIONS crystal
Nd 0.0000 0.3793 0.5000
Nd 0.5000 0.6207 0.0000
Pm 0.0000 0.8400 0.7434
Pm 0.5000 0.1600 0.7566
Pm 0.5000 0.1600 0.2434
Pm 0.0000 0.8400 0.2566
Al 0.0000 0.3265 0.0000
Al 0.5000 0.6735 0.5000
CELL_PARAMETERS angstrom
5.4866 0.0000 0.0000
0.0000 6.2095 0.0000
0.0000 0.0000 6.8529
! Excess energy over the best structure of this formula in the dataset   1.69 kJ per mole of atoms
! Spin magnetization   0.0 μB per cell
! VASP energy   -18.614 eV/f.u.
! Energy relative to the elements   -151 meV/atom


Record 8
! PBE Pm4NdAl4, optimized geometry; values from VASP
&SYSTEM
  ibrav = 0, nat = 18, ntyp = 3
/
ATOMIC_SPECIES
Pm 145.00 Pm.upf
Al 26.98 Al.upf
Nd 144.24 Nd.upf
ATOMIC_POSITIONS crystal
Pm 0.1199 0.9266 0.3298
Pm 0.6199 0.1702 0.4266
Pm 0.3801 0.5734 0.1702
Pm 0.8801 0.6702 0.9266
Pm 0.3801 0.4266 0.8298
Pm 0.8801 0.3298 0.0734
Pm 0.6199 0.8298 0.5734
Pm 0.1199 0.0734 0.6702
Al 0.0958 0.6915 0.5925
Al 0.9042 0.5925 0.3085
Al 0.9042 0.4075 0.6915
Al 0.4042 0.1915 0.0925
Al 0.5958 0.0925 0.8085
Al 0.5958 0.9075 0.1915
Al 0.0958 0.3085 0.4075
Al 0.4042 0.8085 0.9075
Nd 0.5000 0.5000 0.5000
Nd 0.0000 0.0000 0.0000
CELL_PARAMETERS angstrom
-5.2802 2.9538 -0.4649
-4.2099 -7.7268 -1.2795
-1.2148 -0.7908 8.7729
! Spin magnetization   0.0 μB per cell
! VASP energy   -40.043 eV/f.u.
! Energy relative to the elements   -145 meV/atom


Record 9
! PBE Pm4Nd5Al, optimized geometry; values from VASP
&SYSTEM
  ibrav = 0, nat = 10, ntyp = 3
/
ATOMIC_SPECIES
Nd 144.24 Nd.upf
Al 26.98 Al.upf
Pm 145.00 Pm.upf
ATOMIC_POSITIONS crystal
Nd 0.1485 0.6321 0.9999
Nd 0.1484 0.0001 0.6321
Nd 0.7806 0.9999 0.3679
Nd 0.6522 0.0000 0.0000
Nd 0.7805 0.3679 0.0001
Al 0.1746 0.0000 0.0000
Pm 0.4563 0.6878 0.3123
Pm 0.7686 0.6877 0.6878
Pm 0.1442 0.3123 0.3122
Pm 0.4565 0.3122 0.6877
CELL_PARAMETERS angstrom
-1.9556 4.5772 -3.2341
-7.2879 -1.5982 -3.3024
-4.3951 5.1713 4.5293
! Excess energy over the best structure of this formula in the dataset   6.03 kJ per mole of atoms
! Spin magnetization   0.0 μB per cell
! VASP energy   -45.542 eV/f.u.
! Energy relative to the elements   104 meV/atom


Record 10
! PBE Pm2Nd2Al, optimized geometry; values from VASP
&SYSTEM
  ibrav = 0, nat = 5, ntyp = 3
/
ATOMIC_SPECIES
Al 26.98 Al.upf
Nd 144.24 Nd.upf
Pm 145.00 Pm.upf
ATOMIC_POSITIONS crystal
Al 0.0000 0.0000 0.0000
Nd 0.4163 0.4163 0.8325
Nd 0.5837 0.5837 0.1675
Pm 0.2500 0.7500 0.5000
Pm 0.7500 0.2500 0.5000
CELL_PARAMETERS angstrom
4.3425 0.0000 0.0000
0.0000 4.3425 0.0000
-2.1712 -2.1712 9.0434
! Spin magnetization   0.0 μB per cell
! VASP energy   -20.900 eV/f.u.
! Energy relative to the elements   376 meV/atom


Record 11
! PBE PmNd6Al, optimized geometry; values from VASP
&SYSTEM
  ibrav = 0, nat = 8, ntyp = 3
/
ATOMIC_SPECIES
Nd 144.24 Nd.upf
Al 26.98 Al.upf
Pm 145.00 Pm.upf
ATOMIC_POSITIONS crystal
Nd 0.0000 0.5000 0.2635
Nd 0.5000 0.5000 0.0000
Nd 0.0000 0.5000 0.7365
Nd 0.5000 0.0000 0.2635
Nd 0.5000 0.5000 0.5000
Nd 0.5000 0.0000 0.7365
Al 0.0000 0.0000 0.5000
Pm 0.0000 0.0000 0.0000
CELL_PARAMETERS angstrom
4.9954 0.0000 0.0000
0.0000 4.9954 0.0000
0.0000 0.0000 10.3433
! Spin magnetization   0.0 μB per cell
! VASP energy   -37.557 eV/f.u.
! Energy relative to the elements   -57 meV/atom


Record 12
! PBE PmNd7Al4, optimized geometry; values from VASP
&SYSTEM
  ibrav = 0, nat = 12, ntyp = 3
/
ATOMIC_SPECIES
Nd 144.24 Nd.upf
Al 26.98 Al.upf
Pm 145.00 Pm.upf
ATOMIC_POSITIONS crystal
Nd 0.2062 0.1209 0.4668
Nd 0.2963 0.6453 0.7620
Nd 0.7037 0.3547 0.2380
Nd 0.9344 0.3876 0.7437
Nd 0.7938 0.8791 0.5332
Nd 0.0656 0.6124 0.2563
Nd 0.5000 0.0000 0.0000
Al 0.3249 0.3312 0.0190
Al 0.5515 0.2407 0.6563
Al 0.4485 0.7593 0.3437
Al 0.6751 0.6688 0.9810
Pm 0.0000 0.0000 0.0000
CELL_PARAMETERS angstrom
5.6873 0.0000 0.0000
2.8437 8.9398 0.3048
2.8437 0.5592 7.0562
! Spin magnetization   0.3 μB per cell
! VASP energy   -53.901 eV/f.u.
! Energy relative to the elements   -67 meV/atom